SrVFeP2: optimized geometry, PBE.

abc: 6.744 6.744 6.744
angles: 147.12 147.12 47.19
Element x y z (fractional)
Sr: 0.000 0.000 0.000
V: 0.250 0.750 0.500
Fe: 0.750 0.250 0.500
P: 0.359 0.359 0.000
P: 0.641 0.641 0.000

Summary:
- Crystal system: tetragonal
- Total magnetization: 1.092 μB per cell
- Energy relative to the elements: -0.79 eV/atom
- SG: No. 119



Ho2Si4PtRh3: optimized geometry, PBE.

abc: 4.080 4.080 10.021
angles: 90.00 90.00 90.00
Element x y z (fractional)
Ho: 0.000 0.500 0.241
Ho: 0.500 0.000 0.759
Si: 0.000 0.000 0.000
Si: 0.000 0.500 0.638
Si: 0.500 0.000 0.362
Si: 0.500 0.500 0.000
Pt: 0.000 0.000 0.500
Rh: 0.000 0.500 0.872
Rh: 0.500 0.000 0.128
Rh: 0.500 0.500 0.500

Summary:
- Crystal system: tetragonal
- Total magnetization: 0.000 μB per cell
- Formation energy from raw total energies: -1058 meV per atom
- SG: No. 115



Pm5Dy2YHo: optimized geometry, PBE.

abc: 10.506 10.506 10.713
angles: 90.00 90.00 148.82
Element x y z (fractional)
Pm: 0.017 0.983 0.500
Pm: 0.281 0.719 0.791
Pm: 0.298 0.702 0.188
Pm: 0.388 0.612 0.503
Pm: 0.481 0.519 0.223
Pm: 0.519 0.481 0.723
Pm: 0.612 0.388 0.003
Pm: 0.702 0.298 0.688
Pm: 0.719 0.281 0.291
Pm: 0.983 0.017 0.000
Dy: 0.112 0.888 0.218
Dy: 0.115 0.885 0.795
Dy: 0.885 0.115 0.295
Dy: 0.888 0.112 0.718
Y: 0.200 0.800 0.491
Y: 0.800 0.200 0.991
Ho: 0.410 0.590 0.942
Ho: 0.590 0.410 0.442

Summary:
- Crystal system: orthorhombic
- Total magnetization: 0.000 μB per cell
- Energy relative to the elements: 0.14 eV/atom
- SG: No. 36



Rb2ScZn3F12: optimized geometry, PBE.

abc: 7.587 7.587 7.587
angles: 58.04 58.04 58.04
Element x y z (fractional)
Rb: 0.118 0.118 0.118
Rb: 0.882 0.882 0.882
Sc: 0.500 0.500 0.500
Zn: 0.000 0.500 0.500
Zn: 0.500 0.000 0.500
Zn: 0.500 0.500 0.000
F: 0.174 0.575 0.575
F: 0.182 0.182 0.578
F: 0.182 0.578 0.182
F: 0.422 0.818 0.818
F: 0.425 0.425 0.826
F: 0.425 0.826 0.425
F: 0.575 0.174 0.575
F: 0.575 0.575 0.174
F: 0.578 0.182 0.182
F: 0.818 0.422 0.818
F: 0.818 0.818 0.422
F: 0.826 0.425 0.425

Summary:
- Crystal system: trigonal
- Total magnetization: 0.000 μB per cell
- Formation energy from raw total energies: -2706 meV per atom
- SG: No. 166